Y2BeC: relaxed, GGA-PBE.

Cell: 3.5402 3.5402 25.8745 Å, 90.00 90.00 120.00°
With the nearest neighbours (Å) after each atom.
Space group R-3m (No. 166, hexagonal axes)
Asymmetric unit:
Y 0.0000 0.0000 0.1151  3 C 2.44
Be 0.0000 0.0000 0.0000  2 Y 2.98
C 0.0000 0.0000 0.5000  6 Y 2.44

- energy of formation (eV/atom) = 0.434
- crystal system = trigonal
- energy relative to the lowest polymorph listed for this composition (meV per atom) = 641
- final energy (Ry/atom) = -0.444
- spin magnetization (μB per cell) = 0.0